(1)
10
Lattice="8.0235 0.0000 0.0000 0.0000 4.7983 0.0000 -2.0495 0.0000 8.5778" Properties=species:S:1:pos:R:3 comment="Sr2InAsPb | Alexandria | GGA-PBE | relaxed" sg="P2_1/m, No. 11" pbc="T T T"
Sr 0.3072 1.1996 3.3229
Sr 0.0192 1.1996 8.3557
Sr 5.9548 3.5987 0.2221
Sr 5.6668 3.5987 5.2550
In 2.9661 3.5987 3.0000
In 3.0080 1.1996 5.5778
As 0.8203 3.5987 1.4101
As 5.1538 1.1996 7.1677
Pb 1.2136 3.5987 5.9418
Pb 4.7605 1.1996 2.6360

(2)
5
Lattice="5.9492 0.0000 0.0000 0.0000 5.9492 0.0000 0.0000 0.0000 5.3286" Properties=species:S:1:pos:R:3 comment="TlInAsPb2 | Alexandria | GGA-PBE | relaxed" sg="P4/mmm, No. 123" pbc="T T T"
Tl 0.0000 0.0000 0.0000
In 2.9746 2.9746 2.6643
As 0.0000 0.0000 2.6643
Pb 0.0000 2.9746 0.0000
Pb 2.9746 0.0000 0.0000

(3)
5
Lattice="5.1462 0.0000 0.0000 0.0000 5.1462 0.0000 0.0000 0.0000 5.1462" Properties=species:S:1:pos:R:3 comment="In3AsPd | Alexandria | GGA-PBE | relaxed" sg="Pm-3m, No. 221" pbc="T T T"
In 0.0000 0.0000 2.5731
In 0.0000 2.5731 0.0000
In 2.5731 0.0000 0.0000
As 2.5731 2.5731 2.5731
Pd 0.0000 0.0000 0.0000

(4)
19
Lattice="7.5592 -3.7392 0.0000 7.5592 3.7392 0.0000 -2.2480 0.0000 6.3327" Properties=species:S:1:pos:R:3 comment="In5As2Pd12 | Alexandria | GGA-PBE | relaxed" sg="C2/m, No. 12" pbc="T T T"
In 0.0000 0.0000 0.0000
In 3.2324 0.0000 0.5476
In 2.5691 0.0000 4.3301
In 10.3013 0.0000 2.0026
In 9.6380 0.0000 5.7852
As 6.4352 1.6322 3.1664
As 6.4352 -1.6322 3.1664
Pd -0.3584 0.0000 4.3823
Pd 4.0366 1.4800 2.6268
Pd 5.7374 1.4850 0.1699
Pd 7.1330 1.4850 6.1628
Pd 5.3003 0.0000 4.7823
Pd 8.8338 1.4800 3.7059
Pd 4.0366 -1.4800 2.6268
Pd 7.5700 0.0000 1.5504
Pd 5.7374 -1.4850 0.1699
Pd 7.1330 -1.4850 6.1628
Pd 8.8338 -1.4800 3.7059
Pd 13.2288 0.0000 1.9504

(5)
10
Lattice="-2.0381 2.0381 10.1494 2.0381 -2.0381 10.1494 2.0381 2.0381 -10.1494" Properties=species:S:1:pos:R:3 comment="InAs2Pd7 | Alexandria | GGA-PBE | relaxed" sg="I4/mmm, No. 139" pbc="T T T"
In 0.0000 0.0000 0.0000
As 0.0000 0.0000 6.6586
As 0.0000 0.0000 13.6403
Pd 2.0381 0.0000 2.0396
Pd 2.0381 0.0000 5.0747
Pd 2.0381 0.0000 8.1098
Pd 0.0000 0.0000 10.1494
Pd 0.0000 2.0381 2.0396
Pd 0.0000 2.0381 5.0747
Pd 0.0000 2.0381 8.1098

(6)
16
Lattice="4.0081 0.0000 0.0000 0.0000 4.0081 0.0000 0.0000 0.0000 16.1464" Properties=species:S:1:pos:R:3 comment="In3AsPd12 | Alexandria | GGA-PBE | relaxed" sg="P4/mmm, No. 123" pbc="T T T"
In 0.0000 0.0000 0.0000
In 0.0000 0.0000 4.0473
In 0.0000 0.0000 12.0991
As 0.0000 0.0000 8.0732
Pd 0.0000 2.0040 2.0438
Pd 0.0000 2.0040 6.1540
Pd 0.0000 2.0040 9.9924
Pd 0.0000 2.0040 14.1026
Pd 2.0040 0.0000 2.0438
Pd 2.0040 0.0000 6.1540
Pd 2.0040 0.0000 9.9924
Pd 2.0040 0.0000 14.1026
Pd 2.0040 2.0040 0.0000
Pd 2.0040 2.0040 4.1227
Pd 2.0040 2.0040 8.0732
Pd 2.0040 2.0040 12.0238

(7)
10
Lattice="3.7079 -6.0422 0.0000 3.7079 6.0422 0.0000 0.0000 0.0000 4.3988" Properties=species:S:1:pos:R:3 comment="InAs2Pd7 | Alexandria | GGA-PBE | relaxed" sg="Cmmm, No. 65" pbc="T T T"
In 0.0000 0.0000 0.0000
As 3.7079 2.3667 2.1994
As 3.7079 -2.3667 2.1994
Pd 1.3769 1.4368 2.1994
Pd 3.7079 3.3312 0.0000
Pd 1.3769 -1.4368 2.1994
Pd 3.7079 0.0000 2.1994
Pd 6.0388 1.4368 2.1994
Pd 3.7079 -3.3312 0.0000
Pd 6.0388 -1.4368 2.1994

(8)
16
Lattice="2.0099 -7.7226 0.0000 2.0099 7.7226 0.0000 0.0000 0.0000 11.7357" Properties=species:S:1:pos:R:3 comment="In2AsPd5 | Alexandria | GGA-PBE | relaxed" sg="Cmcm, No. 63" pbc="T T T"
In 2.0099 5.7869 6.9770
In 2.0099 5.7869 10.6265
In 2.0099 -5.7869 1.1092
In 2.0099 -5.7869 4.7587
As 2.0099 5.2987 2.9339
As 2.0099 -5.2987 8.8018
Pd 2.0099 7.0235 1.2834
Pd 2.0099 7.0235 4.5845
Pd 2.0099 3.8973 0.9319
Pd 2.0099 3.8973 4.9359
Pd 2.0099 3.7891 8.8018
Pd 2.0099 -3.7891 2.9339
Pd 2.0099 -3.8973 6.7998
Pd 2.0099 -3.8973 10.8037
Pd 2.0099 -7.0235 7.1512
Pd 2.0099 -7.0235 10.4523

| no. | calculated density (Mg/m³) | total DFT energy (no corrections) (eV per atom) | energy of formation (eV per atom) |
| --- | --- | --- | --- |
| 1 | 5.75 | -3.55 | -0.660 |
| 2 | 7.12 | -2.80 | 0.635 |
| 3 | 6.41 | -3.51 | 0.100 |
| 4 | 9.28 | -4.81 | -0.318 |
| 5 | 9.94 | -5.26 | -0.423 |
| 6 | 10.86 | -5.08 | -0.383 |
| 7 | 8.51 | -5.02 | -0.176 |
| 8 | 7.63 | -4.66 | -0.153 |